Sr5Tl: single point on PBEsol structure, SCAN.

It has space group Cmmm (No. 65), with a = 4.725 Å, b = 18.168 Å, c = 6.049 Å, α = 90.00°, β = 90.00° and γ = 90.00°. Symmetry generates all atoms from Sr at (0.000, 0.000, 0.000), Sr at (0.000, 0.144, 0.500), Sr at (0.000, 0.333, 0.000) and Tl at (0.000, 0.500, 0.500).

The calculation puts the energy relative to the lowest polymorph listed for this composition at 75 meV/atom. For the formation energy, the calculation gives -133 meV/atom.

MgSb2PH: single point on PBEsol structure, SCAN.

It has space group P4/mmm (No. 123), with a = 5.259 Å, b = 5.259 Å, c = 4.723 Å, α = 90.00°, β = 90.00° and γ = 90.00°. Symmetry generates all atoms from Mg at (0.000, 0.000, 0.000), Sb at (0.000, 0.500, 0.500), P at (0.000, 0.000, 0.500) and H at (0.500, 0.500, 0.000).

The value obtained for the final energy is -17.8311 eV/atom.